This record from the Alexandria database describes HgRu2W after structural relaxation. The functional is PBE.

Lattice parameters (Å, degrees): 3.080 3.080 6.968 90.00 90.00 90.00
Element x y z (fractional)
1 Hg 0.000 0.000 0.000
2 Ru 0.500 0.500 0.287
3 Ru 0.500 0.500 0.713
4 W 0.000 0.000 0.500

Properties
* space group: P4/mmm (123)
* crystal system: tetragonal
* raw total energy: -30.9 eV/cell
* offset from the most stable computed form: 0.000 eV per atom